# NaCaLa2Au4 GGA-PBE relaxed
# total moment: 0.00 μB per atom
# crystal system: trigonal
data_NaCaLa2Au4
_cell_length_a 5.2164
_cell_length_b 5.2164
_cell_length_c 25.5774
_cell_angle_alpha 90.00
_cell_angle_beta 90.00
_cell_angle_gamma 120.00
_space_group_name_H-M_alt 'R -3 m'
_space_group_IT_number 166
_space_group_name_Hall '-R 3 2"'
loop_
_atom_site_label
_atom_site_fract_x
_atom_site_fract_y
_atom_site_fract_z
Na1 0.0000 0.0000 0.0000
Ca1 0.0000 0.0000 0.5000
La1 0.0000 0.0000 0.2535
Au1 0.0000 0.0000 0.1297
Au2 0.0000 0.0000 0.3780

=====

# Ca2LaAuO GGA-PBE relaxed
# total moment: 0.00 μB per atom
# formation energy from raw total energies: -1.43 eV/atom
# crystal system: tetragonal
data_Ca2LaAuO
_cell_length_a 4.676
_cell_length_b 4.676
_cell_length_c 5.264
_cell_angle_alpha 90.00
_cell_angle_beta 90.00
_cell_angle_gamma 90.00
_space_group_name_H-M_alt 'P 4/m m m'
_space_group_IT_number 123
_space_group_name_Hall '-P 4 2'
loop_
_atom_site_label
_atom_site_fract_x
_atom_site_fract_y
_atom_site_fract_z
Ca1 0.000 0.500 0.000
La1 0.000 0.000 0.500
Au1 0.500 0.500 0.500
O1 0.000 0.000 0.000

=====

# Ca2LaPAu GGA-PBE relaxed
# total moment: 0.22 μB per atom
# crystal system: tetragonal
data_Ca2LaPAu
_cell_length_a 6.448
_cell_length_b 6.448
_cell_length_c 5.206
_cell_angle_alpha 90.00
_cell_angle_beta 90.00
_cell_angle_gamma 90.00
_space_group_name_H-M_alt 'P 4/m m m'
_space_group_IT_number 123
_space_group_name_Hall '-P 4 2'
loop_
_atom_site_label
_atom_site_fract_x
_atom_site_fract_y
_atom_site_fract_z
Ca1 0.000 0.500 0.000
La1 0.000 0.000 0.000
P1 0.000 0.000 0.500
Au1 0.500 0.500 0.500

=====

# CaLaPdAu GGA-PBE relaxed
# total moment: 0.00 μB per atom
# crystal system: orthorhombic
data_CaLaPdAu
_cell_length_a 4.538
_cell_length_b 4.020
_cell_length_c 11.315
_cell_angle_alpha 90.00
_cell_angle_beta 90.00
_cell_angle_gamma 90.00
_space_group_name_H-M_alt 'A m m 2'
_space_group_IT_number 38
loop_
_space_group_symop_operation_xyz
'x,y,z'
'-x,-y,z'
'-x,y,z'
'x,-y,z'
'x,y+1/2,z+1/2'
'-x,-y+1/2,z+1/2'
'-x,y+1/2,z+1/2'
'x,-y+1/2,z+1/2'
loop_
_atom_site_label
_atom_site_fract_x
_atom_site_fract_y
_atom_site_fract_z
Ca1 0.000 0.000 0.000
La1 0.500 0.000 0.726
Pd1 0.000 0.000 0.274
Au1 0.500 0.000 0.445

=====

# CaLaPtAu2 GGA-PBE relaxed
# total moment: 0.00 μB per atom
# crystal system: tetragonal
data_CaLaPtAu2
_cell_length_a 5.575
_cell_length_b 5.575
_cell_length_c 5.304
_cell_angle_alpha 90.00
_cell_angle_beta 90.00
_cell_angle_gamma 90.00
_space_group_name_H-M_alt 'P 4/m m m'
_space_group_IT_number 123
_space_group_name_Hall '-P 4 2'
loop_
_atom_site_label
_atom_site_fract_x
_atom_site_fract_y
_atom_site_fract_z
Ca1 0.000 0.000 0.000
La1 0.500 0.500 0.500
Pt1 0.500 0.500 0.000
Au1 0.000 0.500 0.500

=====

# Ca2LaPtAu GGA-PBE relaxed
# total moment: 0.00 μB per atom
# crystal system: tetragonal
data_Ca2LaPtAu
_cell_length_a 5.515
_cell_length_b 5.515
_cell_length_c 5.505
_cell_angle_alpha 90.00
_cell_angle_beta 90.00
_cell_angle_gamma 90.00
_space_group_name_H-M_alt 'P 4/m m m'
_space_group_IT_number 123
_space_group_name_Hall '-P 4 2'
loop_
_atom_site_label
_atom_site_fract_x
_atom_site_fract_y
_atom_site_fract_z
Ca1 0.000 0.500 0.000
La1 0.000 0.000 0.500
Pt1 0.000 0.000 0.000
Au1 0.500 0.500 0.500

=====

# Ca2LaRhAu GGA-PBE relaxed
# total moment: 0.00 μB per atom
# crystal system: tetragonal
data_Ca2LaRhAu
_cell_length_a 5.417
_cell_length_b 5.417
_cell_length_c 5.512
_cell_angle_alpha 90.00
_cell_angle_beta 90.00
_cell_angle_gamma 90.00
_space_group_name_H-M_alt 'P 4 m m'
_space_group_IT_number 99
loop_
_space_group_symop_operation_xyz
'x,y,z'
'-y,x,z'
'-x,-y,z'
'y,-x,z'
'-x,y,z'
'y,x,z'
'x,-y,z'
'-y,-x,z'
loop_
_atom_site_label
_atom_site_fract_x
_atom_site_fract_y
_atom_site_fract_z
Ca1 0.000 0.500 0.000
La1 0.000 0.000 0.530
Rh1 0.000 0.000 0.069
Au1 0.500 0.500 0.659

=====

# CaLa2RhAu GGA-PBE relaxed
# total moment: 0.00 μB per atom
# crystal system: tetragonal
data_CaLa2RhAu
_cell_length_a 5.482
_cell_length_b 5.482
_cell_length_c 5.745
_cell_angle_alpha 90.00
_cell_angle_beta 90.00
_cell_angle_gamma 90.00
_space_group_name_H-M_alt 'P 4 m m'
_space_group_IT_number 99
loop_
_space_group_symop_operation_xyz
'x,y,z'
'-y,x,z'
'-x,-y,z'
'y,-x,z'
'-x,y,z'
'y,x,z'
'x,-y,z'
'-y,-x,z'
loop_
_atom_site_label
_atom_site_fract_x
_atom_site_fract_y
_atom_site_fract_z
Ca1 0.000 0.000 0.000
La1 0.000 0.500 0.478
Rh1 0.000 0.000 0.505
Au1 0.500 0.500 0.189

=====

# CaLaRuAu2 GGA-PBE relaxed
# total moment: 0.00 μB per atom
# crystal system: tetragonal
data_CaLaRuAu2
_cell_length_a 5.353
_cell_length_b 5.353
_cell_length_c 4.802
_cell_angle_alpha 90.00
_cell_angle_beta 90.00
_cell_angle_gamma 90.00
_space_group_name_H-M_alt 'P 4/m m m'
_space_group_IT_number 123
_space_group_name_Hall '-P 4 2'
loop_
_atom_site_label
_atom_site_fract_x
_atom_site_fract_y
_atom_site_fract_z
Ca1 0.000 0.000 0.000
La1 0.500 0.500 0.000
Ru1 0.500 0.500 0.500
Au1 0.000 0.500 0.500

=====

# CaLa2RuAu GGA-PBE relaxed
# total moment: 0.00 μB per atom
# crystal system: tetragonal
data_CaLa2RuAu
_cell_length_a 5.301
_cell_length_b 5.301
_cell_length_c 5.604
_cell_angle_alpha 90.00
_cell_angle_beta 90.00
_cell_angle_gamma 90.00
_space_group_name_H-M_alt 'P 4/m m m'
_space_group_IT_number 123
_space_group_name_Hall '-P 4 2'
loop_
_atom_site_label
_atom_site_fract_x
_atom_site_fract_y
_atom_site_fract_z
Ca1 0.000 0.000 0.000
La1 0.000 0.500 0.500
Ru1 0.000 0.000 0.500
Au1 0.500 0.500 0.000

=====

One value per record, in order, for energy: -4.017; -4.862; -2.923; -4.661; -4.046; -4.172; -4.286; -4.954; -4.680; -5.120 eV per atom.